# Pb2SN

A geometry-optimized Pb2SN structure (PBE, Alexandria via LeMat-Bulk).

Results
Calculated total energy ... -17.04 eV per cell

a b c (Å): 4.9168 4.9168 4.9168
angles (deg): 60.00 60.00 60.00
Sites, in units of the cell vectors:
1 S 0.5000 0.5000 0.5000
2 N 0.0000 0.0000 0.0000
3 Pb 0.7500 0.7500 0.7500
4 Pb 0.2500 0.2500 0.2500